Sc3ZnGa2 GGA-PBE relaxed; energy above the lowest structure with this stoichiometry = 0 meV per atom; size of the total moment = 0.00 μB per formula unit
1.0
4.7404 0.0000 0.0000
-2.3702 4.1053 0.0000
0.0000 0.0000 11.5856
Sc Zn Ga
6 2 4
Direct
0.0000 0.0000 0.2497
0.0000 0.0000 0.7503
0.3333 0.6667 0.4175
0.3333 0.6667 0.9181
0.6667 0.3333 0.0819
0.6667 0.3333 0.5825
0.3333 0.6667 0.1677
0.6667 0.3333 0.8323
0.0000 0.0000 0.0000
0.0000 0.0000 0.5000
0.3333 0.6667 0.6724
0.6667 0.3333 0.3276